# HgIrSe PBE optimized geometry
# V ... 21.165 Å³ per atom
# Fermi-level density of states ... 3.31 states/eV/cell
# Total magnetic moment ... 0.000 μB per formula unit
# Space-group type ... F-43m, No. 216
# Formation energy without anion corrections ... 130 kJ/mol of formula units
# Crystal system ... cubic
data_HgIrSe
_symmetry_space_group_name_H-M 'P 1'
_symmetry_Int_Tables_number 1
_symmetry_space_group_name_Hall 'P 1'
_cell_length_a 4.478
_cell_length_b 4.478
_cell_length_c 4.478
_cell_angle_alpha 60.00
_cell_angle_beta 60.00
_cell_angle_gamma 60.00
loop_
_atom_site_label
_atom_site_type_symbol
_atom_site_fract_x
_atom_site_fract_y
_atom_site_fract_z
Se1 Se 0.000 0.000 0.000
Ir1 Ir 0.750 0.750 0.750
Hg1 Hg 0.500 0.500 0.500



# Sm4Hg2IrSe PBE optimized geometry
# V ... 28.551 Å³ per atom
# Fermi-level density of states ... 7.22 states/eV/cell
# Total magnetic moment ... 0.000 μB per formula unit
# Space-group type ... P2/m, No. 10
# Formation energy without anion corrections ... -629 kJ/mol of formula units
# Crystal system ... monoclinic
data_Sm4Hg2IrSe
_symmetry_space_group_name_H-M 'P 1'
_symmetry_Int_Tables_number 1
_symmetry_space_group_name_Hall 'P 1'
_cell_length_a 4.110
_cell_length_b 7.421
_cell_length_c 7.821
_cell_angle_alpha 106.77
_cell_angle_beta 90.00
_cell_angle_gamma 90.00
loop_
_atom_site_label
_atom_site_type_symbol
_atom_site_fract_x
_atom_site_fract_y
_atom_site_fract_z
Sm1 Sm 0.500 0.742 0.787
Sm2 Sm 0.500 0.258 0.213
Se1 Se 0.000 0.000 0.000
Hg1 Hg 0.500 0.000 0.500
Ir1 Ir 0.500 0.500 0.000
Hg2 Hg 0.000 0.500 0.500
Sm3 Sm 0.000 0.279 0.791
Sm4 Sm 0.000 0.721 0.209



# Ta2Hg2IrSe6 PBE optimized geometry
# V ... 28.053 Å³ per atom
# Fermi-level density of states ... 4.75 states/eV/cell
# Total magnetic moment ... 0.000 μB per formula unit
# Space-group type ... C2/m, No. 12
# Formation energy without anion corrections ... -529 kJ/mol of formula units
# Crystal system ... monoclinic
data_Ta2Hg2IrSe6
_symmetry_space_group_name_H-M 'P 1'
_symmetry_Int_Tables_number 1
_symmetry_space_group_name_Hall 'P 1'
_cell_length_a 6.169
_cell_length_b 6.169
_cell_length_c 10.392
_cell_angle_alpha 99.44
_cell_angle_beta 99.44
_cell_angle_gamma 123.68
loop_
_atom_site_label
_atom_site_type_symbol
_atom_site_fract_x
_atom_site_fract_y
_atom_site_fract_z
Ta1 Ta 0.362 0.638 0.500
Se1 Se 0.419 0.076 0.655
Hg1 Hg 0.751 0.249 0.000
Se2 Se 0.924 0.581 0.345
Se3 Se 0.581 0.924 0.345
Ir1 Ir 0.000 0.000 0.500
Se4 Se 0.076 0.419 0.655
Se5 Se 0.202 0.202 0.315
Se6 Se 0.798 0.798 0.685
Hg2 Hg 0.249 0.751 0.000
Ta2 Ta 0.638 0.362 0.500



# Th6HgIr3Se2 PBE optimized geometry
# V ... 27.619 Å³ per atom
# Fermi-level density of states ... 9.80 states/eV/cell
# Total magnetic moment ... 0.000 μB per formula unit
# Space-group type ... C2/m, No. 12
# Formation energy without anion corrections ... -1235 kJ/mol of formula units
# Crystal system ... monoclinic
data_Th6HgIr3Se2
_symmetry_space_group_name_H-M 'P 1'
_symmetry_Int_Tables_number 1
_symmetry_space_group_name_Hall 'P 1'
_cell_length_a 4.120
_cell_length_b 8.833
_cell_length_c 9.677
_cell_angle_alpha 105.24
_cell_angle_beta 102.29
_cell_angle_gamma 90.00
loop_
_atom_site_label
_atom_site_type_symbol
_atom_site_fract_x
_atom_site_fract_y
_atom_site_fract_z
Se1 Se 0.170 0.342 0.340
Ir1 Ir 0.500 0.500 0.000
Th1 Th 0.661 0.607 0.321
Hg1 Hg 0.500 0.000 0.000
Th2 Th 0.339 0.393 0.679
Se2 Se 0.830 0.658 0.660
Th3 Th 0.323 0.928 0.646
Ir2 Ir 0.166 0.837 0.332
Th4 Th 0.995 0.278 0.991
Th5 Th 0.005 0.722 0.009
Th6 Th 0.677 0.072 0.354
Ir3 Ir 0.834 0.163 0.668



# Th4HgIrSe2 PBE optimized geometry
# V ... 28.199 Å³ per atom
# Fermi-level density of states ... 7.00 states/eV/cell
# Total magnetic moment ... 0.000 μB per formula unit
# Space-group type ... P2/m, No. 10
# Formation energy without anion corrections ... -780 kJ/mol of formula units
# Crystal system ... monoclinic
data_Th4HgIrSe2
_symmetry_space_group_name_H-M 'P 1'
_symmetry_Int_Tables_number 1
_symmetry_space_group_name_Hall 'P 1'
_cell_length_a 4.172
_cell_length_b 7.576
_cell_length_c 7.511
_cell_angle_alpha 71.86
_cell_angle_beta 90.00
_cell_angle_gamma 90.00
loop_
_atom_site_label
_atom_site_type_symbol
_atom_site_fract_x
_atom_site_fract_y
_atom_site_fract_z
Se1 Se 0.500 0.000 0.500
Th1 Th 0.000 0.726 0.775
Ir1 Ir 0.500 0.500 0.000
Hg1 Hg 0.000 0.500 0.500
Th2 Th 0.000 0.274 0.225
Th3 Th 0.500 0.250 0.772
Th4 Th 0.500 0.750 0.228
Se2 Se 0.000 0.000 0.000



# TiHgIrSe2 PBE optimized geometry
# V ... 24.204 Å³ per atom
# Fermi-level density of states ... 5.41 states/eV/cell
# Total magnetic moment ... 1.793 μB per formula unit
# Space-group type ... P4/mmm, No. 123
# Formation energy without anion corrections ... 371 kJ/mol of formula units
# Crystal system ... tetragonal
data_TiHgIrSe2
_symmetry_space_group_name_H-M 'P 1'
_symmetry_Int_Tables_number 1
_symmetry_space_group_name_Hall 'P 1'
_cell_length_a 4.789
_cell_length_b 5.277
_cell_length_c 4.789
_cell_angle_alpha 90.00
_cell_angle_beta 90.00
_cell_angle_gamma 90.00
loop_
_atom_site_label
_atom_site_type_symbol
_atom_site_fract_x
_atom_site_fract_y
_atom_site_fract_z
Se1 Se 0.000 0.000 0.500
Hg1 Hg 0.000 0.500 0.000
Se2 Se 0.500 0.000 0.000
Ir1 Ir 0.500 0.500 0.500
Ti1 Ti 0.000 0.000 0.000



# Si2HgIr PBE optimized geometry
# V ... 18.019 Å³ per atom
# Fermi-level density of states ... 1.31 states/eV/cell
# Total magnetic moment ... 0.000 μB per formula unit
# Space-group type ... Imm2, No. 44
# Formation energy without anion corrections ... 34 kJ/mol of formula units
# Crystal system ... orthorhombic
data_Si2HgIr
_symmetry_space_group_name_H-M 'P 1'
_symmetry_Int_Tables_number 1
_symmetry_space_group_name_Hall 'P 1'
_cell_length_a 6.881
_cell_length_b 6.881
_cell_length_c 6.881
_cell_angle_alpha 156.13
_cell_angle_beta 146.78
_cell_angle_gamma 41.32
loop_
_atom_site_label
_atom_site_type_symbol
_atom_site_fract_x
_atom_site_fract_y
_atom_site_fract_z
Ir1 Ir 0.222 0.722 0.500
Hg1 Hg 0.443 0.443 0.000
Si1 Si 0.768 0.268 0.500
Si2 Si 0.067 0.067 0.000



# SiHg3Ir PBE optimized geometry
# V ... 28.204 Å³ per atom
# Fermi-level density of states ... 4.99 states/eV/cell
# Total magnetic moment ... 0.528 μB per formula unit
# Space-group type ... Pm-3m, No. 221
# Formation energy without anion corrections ... 432 kJ/mol of formula units
# Crystal system ... cubic
data_SiHg3Ir
_symmetry_space_group_name_H-M 'P 1'
_symmetry_Int_Tables_number 1
_symmetry_space_group_name_Hall 'P 1'
_cell_length_a 5.205
_cell_length_b 5.205
_cell_length_c 5.205
_cell_angle_alpha 90.00
_cell_angle_beta 90.00
_cell_angle_gamma 90.00
loop_
_atom_site_label
_atom_site_type_symbol
_atom_site_fract_x
_atom_site_fract_y
_atom_site_fract_z
Hg1 Hg 0.000 0.500 0.000
Si1 Si 0.500 0.500 0.500
Hg2 Hg 0.000 0.000 0.500
Hg3 Hg 0.500 0.000 0.000
Ir1 Ir 0.000 0.000 0.000



# Si2HgIr PBE optimized geometry
# V ... 16.602 Å³ per atom
# Fermi-level density of states ... 2.66 states/eV/cell
# Total magnetic moment ... 0.000 μB per formula unit
# Space-group type ... R3m, No. 160
# Formation energy without anion corrections ... 77 kJ/mol of formula units
# Crystal system ... trigonal
data_Si2HgIr
_symmetry_space_group_name_H-M 'P 1'
_symmetry_Int_Tables_number 1
_symmetry_space_group_name_Hall 'P 1'
_cell_length_a 8.289
_cell_length_b 8.289
_cell_length_c 8.289
_cell_angle_alpha 21.40
_cell_angle_beta 21.40
_cell_angle_gamma 21.40
loop_
_atom_site_label
_atom_site_type_symbol
_atom_site_fract_x
_atom_site_fract_y
_atom_site_fract_z
Ir1 Ir 0.736 0.736 0.736
Si1 Si 0.262 0.262 0.262
Hg1 Hg 0.501 0.501 0.501
Si2 Si 0.002 0.002 0.002



# Si2HgIr PBE optimized geometry
# V ... 17.795 Å³ per atom
# Fermi-level density of states ... 1.84 states/eV/cell
# Total magnetic moment ... 0.000 μB per formula unit
# Space-group type ... P2/m, No. 10
# Formation energy without anion corrections ... 13 kJ/mol of formula units
# Crystal system ... monoclinic
data_Si2HgIr
_symmetry_space_group_name_H-M 'P 1'
_symmetry_Int_Tables_number 1
_symmetry_space_group_name_Hall 'P 1'
_cell_length_a 3.268
_cell_length_b 2.792
_cell_length_c 9.662
_cell_angle_alpha 53.84
_cell_angle_beta 90.00
_cell_angle_gamma 90.00
loop_
_atom_site_label
_atom_site_type_symbol
_atom_site_fract_x
_atom_site_fract_y
_atom_site_fract_z
Ir1 Ir 0.500 0.750 0.750
Si1 Si 0.000 0.872 0.935
Si2 Si 0.000 0.628 0.565
Hg1 Hg 0.500 0.250 0.250